The following is a GGA-PBE calculation of CaLaSc2Ni after structural relaxation, from the Alexandria database.

Output
Energy of formation from the pure elements   -0.0344 eV per atom
Calculated total energy   -5.109 eV per atom
Polymorph energy (0 for the lowest one)   0 meV/atom

Lattice parameters (Å, degrees): 5.2256 5.2256 5.2757 90.00 90.00 90.00
Atoms (fractional coordinates):
Sc: 0.0000 0.5000 0.0000
Sc: 0.5000 0.0000 0.0000
Ca: 0.5000 0.5000 0.5000
Ni: 0.0000 0.0000 0.0000
La: 0.0000 0.0000 0.5000



The following is a GGA-PBE calculation of Ca3InPd3 after structural relaxation, from the Alexandria database.

Output
Energy of formation from the pure elements   -0.6920 eV per atom
Calculated total energy   -4.167 eV per atom

Lattice parameters (Å, degrees): 4.3505 5.8208 14.1429 90.00 90.00 111.94
Atoms (fractional coordinates):
Pd: 0.0878 0.1757 0.0932
Pd: 0.7649 0.5297 0.7500
Pd: 0.0878 0.1757 0.4068
Pd: 0.2351 0.4703 0.2500
Pd: 0.9122 0.8243 0.5932
Pd: 0.9122 0.8243 0.9068
Ca: 0.5209 0.0417 0.2500
Ca: 0.2024 0.4047 0.6064
Ca: 0.4791 0.9583 0.7500
Ca: 0.7976 0.5953 0.3936
Ca: 0.7976 0.5953 0.1064
Ca: 0.2024 0.4047 0.8936
In: 0.5000 0.0000 0.0000
In: 0.5000 0.0000 0.5000



The following is a GGA-PBE calculation of TiGa2TePt after structural relaxation, from the Alexandria database.

Output
Calculated total energy   -3.589 eV per atom
Raw formation energy   1.038 eV/atom

Lattice parameters (Å, degrees): 5.2472 4.9396 5.2472 90.00 90.00 90.00
Atoms (fractional coordinates):
Pt: 0.0000 0.5000 0.0000
Ti: 0.5000 0.5000 0.5000
Ga: 0.0000 0.0000 0.5000
Ga: 0.5000 0.0000 0.0000
Te: 0.0000 0.0000 0.0000



The following is a GGA-PBE calculation of Y2Fe17B3 after structural relaxation, from the Alexandria database.

Output
Energy of formation from the pure elements   -0.0837 eV per atom
Calculated total energy   -8.121 eV per atom

Lattice parameters (Å, degrees): 6.5267 6.5267 6.5267 83.64 83.64 83.64
Atoms (fractional coordinates):
Fe: 0.1501 0.6609 0.6609
Fe: 0.7211 0.0000 0.2789
Fe: 0.9038 0.9038 0.9038
Fe: 0.0000 0.2789 0.7211
Fe: 0.0962 0.0962 0.0962
Fe: 0.5000 0.0000 0.0000
Fe: 0.3391 0.8499 0.3391
Fe: 0.0000 0.5000 0.0000
Fe: 0.0000 0.0000 0.5000
Fe: 0.8499 0.3391 0.3391
Fe: 0.3391 0.3391 0.8499
Fe: 0.2789 0.0000 0.7211
Fe: 0.6609 0.1501 0.6609
Fe: 0.2789 0.7211 0.0000
Fe: 0.6609 0.6609 0.1501
Fe: 0.0000 0.7211 0.2789
Fe: 0.7211 0.2789 0.0000
B: 0.5000 0.5000 0.0000
B: 0.0000 0.5000 0.5000
B: 0.5000 0.0000 0.5000
Y: 0.3437 0.3437 0.3437
Y: 0.6563 0.6563 0.6563



The following is a GGA-PBE calculation of CaHf2TlS after structural relaxation, from the Alexandria database.

Output
Calculated total energy   -4.443 eV per atom
Raw formation energy   1.237 eV/atom

Lattice parameters (Å, degrees): 5.3082 4.9161 5.3082 90.00 90.00 90.00
Atoms (fractional coordinates):
Tl: 0.5000 0.5000 0.5000
Hf: 0.5000 0.0000 0.0000
Hf: 0.0000 0.0000 0.5000
S: 0.0000 0.5000 0.0000
Ca: 0.0000 0.0000 0.0000



The following is a GGA-PBE calculation of Te2PSeN after structural relaxation, from the Alexandria database.

Output
Calculated total energy   -4.090 eV per atom
Raw formation energy   0.610 eV/atom
Polymorph energy (0 for the lowest one)   0 meV/atom

Lattice parameters (Å, degrees): 5.7322 5.7322 3.2189 90.00 90.00 90.00
Atoms (fractional coordinates):
Te: 0.5000 0.0000 0.0000
Te: 0.0000 0.5000 0.0000
P: 0.0000 0.0000 0.0000
N: 0.0000 0.0000 0.5000
Se: 0.5000 0.5000 0.5000



The following is a GGA-PBE calculation of La5Tb4Nd after structural relaxation, from the Alexandria database.

Output
Energy of formation from the pure elements   0.0580 eV per atom
Calculated total energy   -4.735 eV per atom
Polymorph energy (0 for the lowest one)   37 meV/atom

Lattice parameters (Å, degrees): 3.6442 11.1724 9.1895 109.73 91.48 84.07
Atoms (fractional coordinates):
La: 0.9984 0.1781 0.7866
La: 0.8007 0.4208 0.6116
La: 0.5000 0.5000 0.0000
La: 0.0016 0.8219 0.2134
La: 0.1993 0.5792 0.3884
Nd: 0.5000 0.0000 0.0000
Tb: 0.5805 0.8783 0.5868
Tb: 0.4195 0.1217 0.4132
Tb: 0.8672 0.2827 0.2013
Tb: 0.1328 0.7173 0.7987



The following is a GGA-PBE calculation of Mg2CrIn after structural relaxation, from the Alexandria database.

Output
Energy of formation from the pure elements   0.1519 eV per atom
Calculated total energy   -3.736 eV per atom

Lattice parameters (Å, degrees): 4.2433 4.2408 4.4225 90.00 90.00 90.00
Atoms (fractional coordinates):
Mg: 0.0000 0.0000 0.0000
Mg: 0.5000 0.5000 0.0000
In: 0.0000 0.5000 0.5000
Cr: 0.5000 0.0000 0.5000



The following is a GGA-PBE calculation of YAg2SeS after structural relaxation, from the Alexandria database.

Output
Calculated total energy   -4.148 eV per atom
Raw formation energy   -0.193 eV/atom

Lattice parameters (Å, degrees): 4.8307 5.5671 4.8307 90.00 90.00 90.00
Atoms (fractional coordinates):
Se: 0.0000 0.0000 0.0000
S: 0.5000 0.5000 0.5000
Ag: 0.5000 0.0000 0.0000
Ag: 0.0000 0.0000 0.5000
Y: 0.0000 0.5000 0.0000



The following is a GGA-PBE calculation of La6MgTc2 after structural relaxation, from the Alexandria database.

Output
Energy of formation from the pure elements   -0.0458 eV per atom
Calculated total energy   -5.812 eV per atom

Lattice parameters (Å, degrees): 8.9357 8.9357 8.9357 106.87 109.80 111.78
Atoms (fractional coordinates):
La: 0.7930 0.2302 0.0231
La: 0.6840 0.3601 0.6761
La: 0.2070 0.2302 0.4372
La: 0.4708 0.2846 0.1862
La: 0.0983 0.2846 0.8138
La: 0.6840 0.0079 0.3239
La: 0.3160 0.9921 0.6761
La: 0.5292 0.7154 0.8138
La: 0.9017 0.7154 0.1862
La: 0.3160 0.6399 0.3239
La: 0.2070 0.7698 0.9769
La: 0.7930 0.7698 0.5628
Tc: 0.5000 0.3841 0.8841
Tc: 0.6830 0.0000 0.6830
Tc: 0.3170 0.0000 0.3170
Tc: 0.5000 0.6159 0.1159
Mg: 0.0000 0.0000 0.0000
Mg: 0.0000 0.5000 0.5000



The following is a GGA-PBE calculation of ErSnN2 after structural relaxation, from the Alexandria database.

Output
Calculated total energy   -6.650 eV per atom
Raw formation energy   -0.346 eV/atom

Lattice parameters (Å, degrees): 3.3693 3.3693 6.1303 74.05 74.05 60.00
Atoms (fractional coordinates):
Sn: 0.6710 0.6710 0.9870
N: 0.0785 0.0785 0.7645
N: 0.2477 0.2477 0.2569
Er: 0.5028 0.5028 0.4916



The following is a GGA-PBE calculation of ErMgZrAl after structural relaxation, from the Alexandria database.

Output
Energy of formation from the pure elements   -0.1844 eV per atom
Calculated total energy   -4.796 eV per atom

Lattice parameters (Å, degrees): 4.9965 4.9965 4.9965 60.00 60.00 60.00
Atoms (fractional coordinates):
Mg: 0.7500 0.7500 0.7500
Zr: 0.0000 0.0000 0.0000
Er: 0.5000 0.5000 0.5000
Al: 0.2500 0.2500 0.2500



> Which value of calculated total energy does entry 1 give?

-5.109 eV per atom



> Which value of calculated total energy does entry 8 give?

-3.736 eV per atom



> Which formula does entry 10 have?

La6MgTc2



> calculated total energy of number 6 (Te2PSeN)?

-4.090 eV per atom